# 1
This record from Alexandria describes crystalline AlFe4Pt at its relaxed geometry. The functional is PBE.

Summary:
Energy of formation = -0.123 eV per atom
ΔE to the lowest computed polymorph = 55 meV per atom

Unit cell a=6.7147 b=6.7147 c=6.7147 alpha=90.00 beta=90.00 gamma=90.00
Closest atoms and distances in Å follow each position.
Space group F-43m (No. 216)
Symmetry-distinct sites (fractional):
Al1 0.0000 0.0000 0.0000 [4 per cell]  12 Fe 2.78, 4 Pt 2.91
Fe1 0.1256 0.1256 0.6256 [16 per cell]  6 Fe 2.36-2.39
Pt1 0.2500 0.2500 0.2500 [4 per cell]  12 Fe 2.79, 4 Al 2.91



# 2
This record from Alexandria describes crystalline SrCuPb2 at its relaxed geometry. The functional is PBE.

Summary:
Energy of formation = -0.087 eV per atom

Unit cell a=3.7756 b=5.7407 c=10.5564 alpha=90.00 beta=90.00 gamma=90.00
Closest atoms and distances in Å follow each position.
Space group Immm (No. 71)
Symmetry-distinct sites (fractional):
Sr1 0.0000 0.0000 0.0000 [2 per cell]  4 Cu 3.44, 8 Pb 3.59-3.65, 2 Sr 3.78
Cu1 0.0000 0.0000 0.5000 [2 per cell]  4 Pb 2.86
Pb1 0.0000 0.5000 0.2036 [4 per cell]  2 Cu 2.86



# 3
This record from Alexandria describes crystalline Pm6Ru2N at its relaxed geometry. The functional is PBE.

Summary:
Formation energy without anion corrections = -476 meV/atom

Unit cell a=6.6170 b=7.3082 c=11.5499 alpha=90.00 beta=124.43 gamma=90.00
Closest atoms and distances in Å follow each position.
Space group P2_1/c (No. 14)
Symmetry-distinct sites (fractional):
Pm1 0.1209 0.0481 0.2436 [4 per cell]  1 N 2.48
Pm2 0.2316 0.6919 0.0635 [4 per cell]  1 N 2.59
Pm3 0.3733 0.1672 0.0609 [4 per cell]  1 N 2.47
Ru1 0.2861 0.0981 0.7541 [4 per cell]  6 Pm 2.78-3.12
N1 0.0000 0.0000 0.0000 [2 per cell]  6 Pm 2.47-2.59



# 4
This record from Alexandria describes crystalline TbErAlPt at its relaxed geometry. The functional is PBE.

Summary:
Energy of formation = -0.743 eV per atom

Unit cell a=7.0975 b=7.0975 c=7.0975 alpha=90.00 beta=90.00 gamma=90.00
Closest atoms and distances in Å follow each position.
Space group F-43m (No. 216)
Symmetry-distinct sites (fractional):
Tb1 0.0000 0.0000 0.0000 [4 per cell]  4 Al 3.07, 4 Pt 3.07
Er1 0.0000 0.0000 0.5000 [4 per cell]  4 Pt 3.07, 4 Al 3.07
Al1 0.2500 0.2500 0.2500 [4 per cell]  4 Tb 3.07, 4 Er 3.07
Pt1 0.2500 0.2500 0.7500 [4 per cell]  4 Tb 3.07, 4 Er 3.07



# 5
This record from Alexandria describes crystalline Tl2Sb at its relaxed geometry. The functional is PBE.

Summary:
Formation energy without anion corrections = 76 meV/atom
ΔE to the lowest computed polymorph = 95 meV per atom

Unit cell a=14.8548 b=14.8548 c=14.8548 alpha=90.00 beta=90.00 gamma=90.00
Closest atoms and distances in Å follow each position.
Space group Fd-3m (No. 227, origin choice 2)
Symmetry-distinct sites (fractional):
Tl1 0.0000 0.0000 0.0000 [16 per cell]  6 Sb 3.46, 6 Tl 3.55
Tl2 0.0893 0.3750 0.8750 [48 per cell]  4 Sb 3.20-3.48, 2 Tl 3.55
Sb1 0.0188 0.0188 0.2312 [32 per cell]  9 Tl 3.20-3.48



# 6
This record from Alexandria describes crystalline Zr2MoPtN at its relaxed geometry. The functional is PBE.

Summary:
Formation energy without anion corrections = -891 meV/atom

Unit cell a=4.5265 b=4.5265 c=3.9817 alpha=90.00 beta=90.00 gamma=90.00
Closest atoms and distances in Å follow each position.
Space group P4/mmm (No. 123)
Symmetry-distinct sites (fractional):
Zr1 0.0000 0.5000 0.0000 [2 per cell]  2 N 2.26
Mo1 0.0000 0.0000 0.5000 [1 per cell]  2 N 1.99
Pt1 0.5000 0.5000 0.5000 [1 per cell]  8 Zr 3.01, 4 Mo 3.20
N1 0.0000 0.0000 0.0000 [1 per cell]  2 Mo 1.99



# 7
This record from Alexandria describes crystalline PaTcC at its relaxed geometry. The functional is PBE.

Summary:
Energy of formation = 0.351 eV per atom
ΔE to the lowest computed polymorph = 466 meV per atom

Unit cell a=5.7861 b=5.7861 c=5.7861 alpha=90.00 beta=90.00 gamma=90.00
Closest atoms and distances in Å follow each position.
Space group F-43m (No. 216)
Symmetry-distinct sites (fractional):
Pa1 0.0000 0.0000 0.0000 [4 per cell]  4 C 2.51
Tc1 0.0000 0.0000 0.5000 [4 per cell]  4 C 2.51
C1 0.2500 0.2500 0.7500 [4 per cell]  4 Pa 2.51, 4 Tc 2.51



# 8
This record from Alexandria describes crystalline InGePt at its relaxed geometry. The functional is PBE.

Summary:
Energy of formation = -0.409 eV per atom

Unit cell a=7.6904 b=4.4271 c=7.7420 alpha=90.00 beta=109.48 gamma=90.00
Closest atoms and distances in Å follow each position.
Space group C2/m (No. 12)
Symmetry-distinct sites (fractional):
In1 0.1247 0.0000 0.3752 [4 per cell]  4 Pt 2.79-2.93
Ge1 0.1241 0.5000 0.8718 [4 per cell]  4 Pt 2.57-2.65
Pt1 0.2409 0.5000 0.2240 [4 per cell]  4 Ge 2.57-2.65, 3 In 2.79



# 9
This record from Alexandria describes crystalline VAs2HBr at its relaxed geometry. The functional is PBE.

Summary:
ΔE to the lowest computed polymorph = 11 meV per atom

Unit cell a=4.6766 b=4.6766 c=5.3376 alpha=90.00 beta=90.00 gamma=90.00
Closest atoms and distances in Å follow each position.
Space group P4/mmm (No. 123)
Symmetry-distinct sites (fractional):
V1 0.0000 0.0000 0.0000 [1 per cell]  4 As 2.34
As1 0.0000 0.5000 0.0000 [2 per cell]  2 V 2.34
H1 0.5000 0.5000 0.5000 [1 per cell]  4 Br 3.31, 8 As 3.55
Br1 0.0000 0.0000 0.5000 [1 per cell]  2 V 2.67



# 10
This record from Alexandria describes crystalline ZnCoIrRh at its relaxed geometry. The functional is PBE.

Summary:
Energy of formation = -0.016 eV per atom

Unit cell a=6.0043 b=6.0043 c=6.0043 alpha=90.00 beta=90.00 gamma=90.00
Closest atoms and distances in Å follow each position.
Space group F-43m (No. 216)
Symmetry-distinct sites (fractional):
Zn1 0.0000 0.0000 0.0000 [4 per cell]  4 Ir 2.60, 4 Rh 2.60
Co1 0.0000 0.0000 0.5000 [4 per cell]  4 Ir 2.60, 4 Rh 2.60
Ir1 0.2500 0.2500 0.2500 [4 per cell]  4 Co 2.60, 4 Zn 2.60
Rh1 0.2500 0.2500 0.7500 [4 per cell]  4 Co 2.60, 4 Zn 2.60



# 11
This record from Alexandria describes crystalline Sm6HoEr2 at its relaxed geometry. The functional is PBE.

Summary:
Energy of formation = 0.018 eV per atom
ΔE to the lowest computed polymorph = 0 meV per atom

Unit cell a=3.5925 b=8.7921 c=9.4847 alpha=90.12 beta=100.88 gamma=90.08
Closest atoms and distances in Å follow each position.
Space group P-1 (No. 2)
Symmetry-distinct sites (fractional):
Sm1 0.1095 0.1654 0.2187 [2 per cell]  4 Er 3.54-3.59, 1 Ho 3.58, 7 Sm 3.59-3.63
Sm2 0.2215 0.8336 0.4420 [2 per cell]  2 Er 3.58, 10 Sm 3.59-3.63
Sm3 0.3342 0.5006 0.6696 [2 per cell]  2 Ho 3.56-3.57, 1 Er 3.58, 9 Sm 3.59-3.64
Ho1 0.0000 0.5000 0.0000 [1 per cell]  6 Sm 3.56-3.58, 4 Er 3.57, 2 Ho 3.59
Er1 0.4448 0.1681 0.8905 [2 per cell]  7 Sm 3.54-3.59, 2 Ho 3.57, 3 Er 3.59-3.60



# 12
This record from Alexandria describes crystalline Rb4NaAc3O8 at its relaxed geometry. The functional is PBE.

Summary:
Formation energy without anion corrections = -2075 meV/atom

Unit cell a=13.3742 b=7.5906 c=7.9343 alpha=90.00 beta=123.19 gamma=90.00
Closest atoms and distances in Å follow each position.
Space group C2/m (No. 12)
Symmetry-distinct sites (fractional):
Rb1 0.0000 0.0000 0.0000 [2 per cell]  6 O 3.02-3.08
Rb2 0.0000 0.5000 0.0000 [2 per cell]  6 O 2.91-2.93
Rb3 0.2500 0.2500 0.0000 [4 per cell]  6 O 2.99-3.08
Na1 0.0000 0.0000 0.5000 [2 per cell]  6 O 2.64-2.73
Ac1 0.0000 0.5000 0.5000 [2 per cell]  6 O 2.44-2.62
Ac2 0.2500 0.2500 0.5000 [4 per cell]  6 O 2.47-2.57
O1 0.0215 0.2681 0.3096 [8 per cell]  2 Ac 2.44-2.57, 1 Na 2.64
O2 0.2333 0.5000 0.6949 [4 per cell]  3 Ac 2.53-2.62
O3 0.2428 0.0000 0.6927 [4 per cell]  2 Ac 2.47, 1 Na 2.73



Across the entries above, electronic total energy takes the values -177.5; -27.1; -119.3; -87.8; -276.1; -46.7; -112.1; -58.5; -20.8; -98.6; -41.9; -180.8 eV per cell, respectively.